[1]
# CeHo2Hg (PBE, relaxed)
# - calculated volume (Å³/cell) = 106
# - electronic total energy (eV per cell) = -15.32
data_CeHo2Hg
_symmetry_space_group_name_H-M 'P 1'
_symmetry_Int_Tables_number 1
_cell_length_a 5.305
_cell_length_b 5.305
_cell_length_c 5.305
_cell_angle_alpha 60.00
_cell_angle_beta 60.00
_cell_angle_gamma 60.00
loop_
_symmetry_equiv_pos_as_xyz
'x,y,z'
loop_
_atom_site_label
_atom_site_type_symbol
_atom_site_fract_x
_atom_site_fract_y
_atom_site_fract_z
_atom_site_occupancy
Hg1 Hg 0.000 0.000 0.000 1
Ce1 Ce 0.500 0.500 0.500 1
Ho1 Ho 0.250 0.250 0.250 1
Ho2 Ho 0.750 0.750 0.750 1


[2]
# MgCrOs (PBE, relaxed)
# - calculated volume (Å³/cell) = 44
# - electronic total energy (eV per cell) = -21.36
data_MgCrOs
_symmetry_space_group_name_H-M 'P 1'
_symmetry_Int_Tables_number 1
_cell_length_a 7.066
_cell_length_b 6.857
_cell_length_c 2.683
_cell_angle_alpha 83.31
_cell_angle_beta 74.53
_cell_angle_gamma 22.16
loop_
_symmetry_equiv_pos_as_xyz
'x,y,z'
loop_
_atom_site_label
_atom_site_type_symbol
_atom_site_fract_x
_atom_site_fract_y
_atom_site_fract_z
_atom_site_occupancy
Cr1 Cr 0.008 0.008 0.992 1
Mg1 Mg 0.335 0.335 0.665 1
Os1 Os 0.657 0.657 0.343 1


[3]
# Re2MoPb (PBE, relaxed)
# - calculated volume (Å³/cell) = 73
# - electronic total energy (eV per cell) = -36.37
data_Re2MoPb
_symmetry_space_group_name_H-M 'P 1'
_symmetry_Int_Tables_number 1
_cell_length_a 2.849
_cell_length_b 2.849
_cell_length_c 9.736
_cell_angle_alpha 90.00
_cell_angle_beta 90.00
_cell_angle_gamma 111.95
loop_
_symmetry_equiv_pos_as_xyz
'x,y,z'
loop_
_atom_site_label
_atom_site_type_symbol
_atom_site_fract_x
_atom_site_fract_y
_atom_site_fract_z
_atom_site_occupancy
Mo1 Mo 0.500 0.500 0.250 1
Pb1 Pb 0.500 0.500 0.750 1
Re1 Re 0.000 0.000 0.037 1
Re2 Re 0.000 0.000 0.463 1


[4]
# PrRuO (PBE, relaxed)
# - formation energy from raw total energies (eV per formula unit) = -4.48
# - calculated volume (Å³/cell) = 230
data_PrRuO
_symmetry_space_group_name_H-M 'P 1'
_symmetry_Int_Tables_number 1
_cell_length_a 5.462
_cell_length_b 5.278
_cell_length_c 8.400
_cell_angle_alpha 108.34
_cell_angle_beta 90.00
_cell_angle_gamma 90.00
loop_
_symmetry_equiv_pos_as_xyz
'x,y,z'
loop_
_atom_site_label
_atom_site_type_symbol
_atom_site_fract_x
_atom_site_fract_y
_atom_site_fract_z
_atom_site_occupancy
Pr1 Pr 0.500 0.332 0.665 1
Pr2 Pr 0.000 0.168 0.335 1
Pr3 Pr 0.500 0.668 0.335 1
Pr4 Pr 0.000 0.832 0.665 1
Ru1 Ru 0.183 0.647 0.000 1
Ru2 Ru 0.317 0.147 0.000 1
Ru3 Ru 0.817 0.353 0.000 1
Ru4 Ru 0.683 0.853 0.000 1
O1 O 0.250 0.001 0.500 1
O2 O 0.250 0.501 0.500 1
O3 O 0.750 0.999 0.500 1
O4 O 0.750 0.499 0.500 1


[5]
# HfThCo10 (PBE, relaxed)
# - calculated volume (Å³/cell) = 162
# - electronic total energy (eV per cell) = -90.04
data_HfThCo10
_symmetry_space_group_name_H-M 'P 1'
_symmetry_Int_Tables_number 1
_cell_length_a 3.989
_cell_length_b 4.829
_cell_length_c 8.416
_cell_angle_alpha 90.00
_cell_angle_beta 90.00
_cell_angle_gamma 90.00
loop_
_symmetry_equiv_pos_as_xyz
'x,y,z'
loop_
_atom_site_label
_atom_site_type_symbol
_atom_site_fract_x
_atom_site_fract_y
_atom_site_fract_z
_atom_site_occupancy
Hf1 Hf 0.000 0.500 0.500 1
Th1 Th 0.000 0.000 0.000 1
Co1 Co 0.000 0.000 0.344 1
Co2 Co 0.000 0.500 0.821 1
Co3 Co 0.000 0.500 0.179 1
Co4 Co 0.000 0.000 0.656 1
Co5 Co 0.500 0.000 0.500 1
Co6 Co 0.500 0.500 0.000 1
Co7 Co 0.500 0.259 0.262 1
Co8 Co 0.500 0.741 0.738 1
Co9 Co 0.500 0.741 0.262 1
Co10 Co 0.500 0.259 0.738 1


[6]
# Ac2Tb3Nd6 (PBE, relaxed)
# - calculated volume (Å³/cell) = 396
# - electronic total energy (eV per cell) = -50.32
data_Ac2Tb3Nd6
_symmetry_space_group_name_H-M 'P 1'
_symmetry_Int_Tables_number 1
_cell_length_a 3.715
_cell_length_b 3.715
_cell_length_c 33.194
_cell_angle_alpha 86.79
_cell_angle_beta 86.79
_cell_angle_gamma 60.00
loop_
_symmetry_equiv_pos_as_xyz
'x,y,z'
loop_
_atom_site_label
_atom_site_type_symbol
_atom_site_fract_x
_atom_site_fract_y
_atom_site_fract_z
_atom_site_occupancy
Ac1 Ac 0.547 0.547 0.360 1
Ac2 Ac 0.453 0.453 0.640 1
Tb1 Tb 0.000 0.000 0.000 1
Tb2 Tb 0.725 0.725 0.824 1
Tb3 Tb 0.275 0.275 0.176 1
Nd1 Nd 0.912 0.912 0.264 1
Nd2 Nd 0.088 0.088 0.736 1
Nd3 Nd 0.818 0.818 0.545 1
Nd4 Nd 0.182 0.182 0.455 1
Nd5 Nd 0.637 0.637 0.088 1
Nd6 Nd 0.363 0.363 0.912 1


[7]
# MgBe2Te (PBE, relaxed)
# - formation energy from raw total energies (eV per formula unit) = 2.08
# - calculated volume (Å³/cell) = 68
data_MgBe2Te
_symmetry_space_group_name_H-M 'P 1'
_symmetry_Int_Tables_number 1
_cell_length_a 5.529
_cell_length_b 5.529
_cell_length_c 5.529
_cell_angle_alpha 140.40
_cell_angle_beta 140.40
_cell_angle_gamma 57.24
loop_
_symmetry_equiv_pos_as_xyz
'x,y,z'
loop_
_atom_site_label
_atom_site_type_symbol
_atom_site_fract_x
_atom_site_fract_y
_atom_site_fract_z
_atom_site_occupancy
Be1 Be 0.000 0.000 0.000 1
Be2 Be 0.750 0.250 0.500 1
Mg1 Mg 0.500 0.500 0.000 1
Te1 Te 0.250 0.750 0.500 1


[8]
# LuPuFePt (PBE, relaxed)
# - calculated volume (Å³/cell) = 79
# - electronic total energy (eV per cell) = -35.06
data_LuPuFePt
_symmetry_space_group_name_H-M 'P 1'
_symmetry_Int_Tables_number 1
_cell_length_a 4.819
_cell_length_b 4.819
_cell_length_c 4.819
_cell_angle_alpha 60.00
_cell_angle_beta 60.00
_cell_angle_gamma 60.00
loop_
_symmetry_equiv_pos_as_xyz
'x,y,z'
loop_
_atom_site_label
_atom_site_type_symbol
_atom_site_fract_x
_atom_site_fract_y
_atom_site_fract_z
_atom_site_occupancy
Lu1 Lu 0.500 0.500 0.500 1
Fe1 Fe 0.250 0.250 0.250 1
Pt1 Pt 0.750 0.750 0.750 1
Pu1 Pu 0.000 0.000 0.000 1


[9]
# Tb2TmSb2 (PBE, relaxed)
# - formation energy from raw total energies (eV per formula unit) = -4.23
# - calculated volume (Å³/cell) = 281
data_Tb2TmSb2
_symmetry_space_group_name_H-M 'P 1'
_symmetry_Int_Tables_number 1
_cell_length_a 4.886
_cell_length_b 6.330
_cell_length_c 9.406
_cell_angle_alpha 90.00
_cell_angle_beta 105.05
_cell_angle_gamma 90.00
loop_
_symmetry_equiv_pos_as_xyz
'x,y,z'
loop_
_atom_site_label
_atom_site_type_symbol
_atom_site_fract_x
_atom_site_fract_y
_atom_site_fract_z
_atom_site_occupancy
Tb1 Tb 0.000 0.728 0.999 1
Tb2 Tb 0.807 0.476 0.614 1
Tb3 Tb 0.193 0.976 0.386 1
Tb4 Tb 0.000 0.228 0.001 1
Tm1 Tm 0.399 0.978 0.799 1
Tm2 Tm 0.601 0.478 0.201 1
Sb1 Sb 0.422 0.477 0.843 1
Sb2 Sb 0.807 0.976 0.614 1
Sb3 Sb 0.193 0.476 0.386 1
Sb4 Sb 0.578 0.977 0.157 1


[10]
# NaHPb (PBE, relaxed)
# - calculated volume (Å³/cell) = 62
# - electronic total energy (eV per cell) = -7.92
data_NaHPb
_symmetry_space_group_name_H-M 'P 1'
_symmetry_Int_Tables_number 1
_cell_length_a 5.453
_cell_length_b 3.626
_cell_length_c 3.626
_cell_angle_alpha 120.00
_cell_angle_beta 90.00
_cell_angle_gamma 90.00
loop_
_symmetry_equiv_pos_as_xyz
'x,y,z'
loop_
_atom_site_label
_atom_site_type_symbol
_atom_site_fract_x
_atom_site_fract_y
_atom_site_fract_z
_atom_site_occupancy
Pb1 Pb 0.248 0.333 0.667 1
Na1 Na 0.757 0.667 0.333 1
H1 H 0.995 0.000 0.000 1


[11]
# SiOs2Pb (PBE, relaxed)
# - formation energy from raw total energies (eV per formula unit) = 3.14
# - calculated volume (Å³/cell) = 165
data_SiOs2Pb
_symmetry_space_group_name_H-M 'P 1'
_symmetry_Int_Tables_number 1
_cell_length_a 4.458
_cell_length_b 4.458
_cell_length_c 8.896
_cell_angle_alpha 75.49
_cell_angle_beta 75.49
_cell_angle_gamma 90.00
loop_
_symmetry_equiv_pos_as_xyz
'x,y,z'
loop_
_atom_site_label
_atom_site_type_symbol
_atom_site_fract_x
_atom_site_fract_y
_atom_site_fract_z
_atom_site_occupancy
Pb1 Pb 0.000 0.000 0.000 1
Pb2 Pb 0.750 0.250 0.500 1
Si1 Si 0.500 0.500 0.000 1
Si2 Si 0.250 0.750 0.500 1
Os1 Os 0.499 0.125 0.250 1
Os2 Os 0.251 0.625 0.250 1
Os3 Os 0.375 0.501 0.750 1
Os4 Os 0.875 0.749 0.750 1


[12]
# BeIr2Pb (PBE, relaxed)
# - calculated volume (Å³/cell) = 155
# - electronic total energy (eV per cell) = -47.14
data_BeIr2Pb
_symmetry_space_group_name_H-M 'P 1'
_symmetry_Int_Tables_number 1
_cell_length_a 4.505
_cell_length_b 4.505
_cell_length_c 8.295
_cell_angle_alpha 74.24
_cell_angle_beta 74.24
_cell_angle_gamma 90.00
loop_
_symmetry_equiv_pos_as_xyz
'x,y,z'
loop_
_atom_site_label
_atom_site_type_symbol
_atom_site_fract_x
_atom_site_fract_y
_atom_site_fract_z
_atom_site_occupancy
Pb1 Pb 0.000 0.000 0.000 1
Pb2 Pb 0.750 0.250 0.500 1
Be1 Be 0.500 0.500 0.000 1
Be2 Be 0.250 0.750 0.500 1
Ir1 Ir 0.496 0.125 0.250 1
Ir2 Ir 0.254 0.625 0.250 1
Ir3 Ir 0.375 0.504 0.750 1
Ir4 Ir 0.875 0.746 0.750 1